Crystalline ThCo2H8Pd at its relaxed geometry, computed with PBE-GGA.

Lattice parameters (Å, degrees): 4.614 4.614 6.142 90.00 90.00 120.00
Sites, in units of the cell vectors:
Th (0.000, 0.000, 0.500)
Co (0.333, 0.667, 0.649)
Co (0.667, 0.333, 0.351)
H (0.181, 0.362, 0.825)
H (0.181, 0.819, 0.825)
H (0.638, 0.819, 0.825)
H (0.362, 0.181, 0.175)
H (0.667, 0.333, 0.607)
H (0.333, 0.667, 0.393)
H (0.819, 0.638, 0.175)
H (0.819, 0.181, 0.175)
Pd (0.000, 0.000, 0.000)

Summary:
* E_tot: -53.99 eV per cell
* symmetry: P-3m1

Crystalline Ti2CoHPd at its relaxed geometry, computed with PBE-GGA.

Lattice parameters (Å, degrees): 4.069 4.069 3.596 90.00 90.00 90.00
Last column: magnetic moment on the atom in μB.
Sites, in units of the cell vectors:
H (0.000, 0.000, 0.000)  0.00
Co (0.000, 0.000, 0.500)  0.66
Pd (0.500, 0.500, 0.500)  0.05
Ti (0.000, 0.500, 0.000)  0.16
Ti (0.500, 0.000, 0.000)  0.16

Summary:
* symmetry: P4/mmm
* energy above the most stable polymorph in this dataset: 0 meV/atom

Crystalline TiCoHPd2 at its relaxed geometry, computed with PBE-GGA.

Lattice parameters (Å, degrees): 3.880 3.880 3.872 90.00 90.00 90.00
Sites, in units of the cell vectors:
H (0.000, 0.000, 0.000)
Co (0.000, 0.000, 0.500)
Pd (0.000, 0.500, 0.000)
Pd (0.500, 0.000, 0.000)
Ti (0.500, 0.500, 0.500)

Summary:
* symmetry: P4/mmm
* energy above the most stable polymorph in this dataset: 0 meV/atom

Crystalline TiCoHPd2 at its relaxed geometry, computed with PBE-GGA.

Lattice parameters (Å, degrees): 3.815 3.815 4.067 90.00 90.00 90.00
Last column: magnetic moment on the atom in μB.
Sites, in units of the cell vectors:
H (0.000, 0.000, 0.000)  0.00
Co (0.500, 0.500, 0.500)  0.45
Pd (0.000, 0.500, 0.000)  0.00
Pd (0.500, 0.000, 0.000)  0.00
Ti (0.000, 0.000, 0.500)  -0.23

Summary:
* symmetry: P4/mmm
* energy above the most stable polymorph in this dataset: 76 meV/atom

Crystalline Ti2CoHPd at its relaxed geometry, computed with PBE-GGA.

Lattice parameters (Å, degrees): 3.978 3.978 3.793 90.00 90.00 90.00
Last column: magnetic moment on the atom in μB.
Sites, in units of the cell vectors:
H (0.000, 0.000, 0.000)  0.00
Co (0.500, 0.500, 0.500)  -0.01
Pd (0.000, 0.000, 0.500)  0.01
Ti (0.000, 0.500, 0.000)  0.24
Ti (0.500, 0.000, 0.000)  0.24

Summary:
* symmetry: P4/mmm
* energy above the most stable polymorph in this dataset: 101 meV/atom

Crystalline TlCoHPd2 at its relaxed geometry, computed with PBE-GGA.

Lattice parameters (Å, degrees): 4.051 4.051 4.014 90.00 90.00 90.00
Last column: magnetic moment on the atom in μB.
Sites, in units of the cell vectors:
H (0.000, 0.000, 0.000)  -0.01
Tl (0.500, 0.500, 0.500)  -0.04
Co (0.000, 0.000, 0.500)  1.20
Pd (0.000, 0.500, 0.000)  0.00
Pd (0.500, 0.000, 0.000)  0.00

Summary:
* symmetry: P4/mmm
* energy above the most stable polymorph in this dataset: 0 meV/atom

Crystalline TlCoHPd2 at its relaxed geometry, computed with PBE-GGA.

Lattice parameters (Å, degrees): 4.595 5.090 4.595 90.00 90.00 90.00
Last column: magnetic moment on the atom in μB.
Sites, in units of the cell vectors:
H (0.500, 0.500, 0.500)  -0.01
Tl (0.000, 0.500, 0.000)  -0.02
Co (0.000, 0.000, 0.000)  1.73
Pd (0.000, 0.000, 0.500)  0.54
Pd (0.500, 0.000, 0.000)  0.21

Summary:
* symmetry: P4/mmm
* energy above the most stable polymorph in this dataset: 1065 meV/atom

Crystalline VCoHPd2 at its relaxed geometry, computed with PBE-GGA.

Lattice parameters (Å, degrees): 3.904 3.904 3.797 90.00 90.00 90.00
Last column: magnetic moment on the atom in μB.
Sites, in units of the cell vectors:
H (0.000, 0.000, 0.000)  0.00
Co (0.000, 0.000, 0.500)  -1.03
Pd (0.000, 0.500, 0.000)  0.03
Pd (0.500, 0.000, 0.000)  0.03
V (0.500, 0.500, 0.500)  1.84

Summary:
* symmetry: P4/mmm
* energy above the most stable polymorph in this dataset: 0 meV/atom

Crystalline VCo2HPd at its relaxed geometry, computed with PBE-GGA.

Lattice parameters (Å, degrees): 3.688 3.688 3.769 90.00 90.00 90.00
Last column: magnetic moment on the atom in μB.
Sites, in units of the cell vectors:
H (0.000, 0.000, 0.000)  0.00
Co (0.000, 0.500, 0.000)  0.67
Co (0.500, 0.000, 0.000)  0.67
Pd (0.500, 0.500, 0.500)  0.06
V (0.000, 0.000, 0.500)  -1.05

Summary:
* symmetry: P4/mmm
* energy above the most stable polymorph in this dataset: 0 meV/atom

Crystalline VCo2HPd at its relaxed geometry, computed with PBE-GGA.

Lattice parameters (Å, degrees): 3.727 3.727 3.722 90.00 90.00 90.00
Last column: magnetic moment on the atom in μB.
Sites, in units of the cell vectors:
H (0.000, 0.000, 0.000)  -0.01
Co (0.000, 0.500, 0.000)  0.62
Co (0.500, 0.000, 0.000)  0.62
Pd (0.000, 0.000, 0.500)  0.01
V (0.500, 0.500, 0.500)  -1.13

Summary:
* symmetry: P4/mmm
* energy above the most stable polymorph in this dataset: 45 meV/atom

Crystalline VCoHPd2 at its relaxed geometry, computed with PBE-GGA.

Lattice parameters (Å, degrees): 3.852 3.852 3.950 90.00 90.00 90.00
Last column: magnetic moment on the atom in μB.
Sites, in units of the cell vectors:
H (0.000, 0.000, 0.000)  -0.01
Co (0.500, 0.500, 0.500)  -1.40
Pd (0.000, 0.500, 0.000)  0.06
Pd (0.500, 0.000, 0.000)  0.06
V (0.000, 0.000, 0.500)  1.82

Summary:
* symmetry: P4/mmm
* energy above the most stable polymorph in this dataset: 31 meV/atom

Crystalline Co2HPdW at its relaxed geometry, computed with PBE-GGA.

Lattice parameters (Å, degrees): 3.781 3.781 3.797 90.00 90.00 90.00
Last column: magnetic moment on the atom in μB.
Sites, in units of the cell vectors:
H (0.000, 0.000, 0.000)  0.01
Co (0.000, 0.500, 0.000)  0.54
Co (0.500, 0.000, 0.000)  0.54
Pd (0.500, 0.500, 0.500)  0.03
W (0.000, 0.000, 0.500)  0.15

Summary:
* E_tot: -34.85 eV per cell
* symmetry: P4/mmm